Record 1
An optimized crystal structure of CaZnIr, computed with PBE-GGA.

## Properties
The formation energy is 617 meV per atom. The total magnetization comes out at 0.00 μB/cell.

Cell: 4.596 4.596 4.596 Å, 60.00 60.00 60.00°
Fractional positions:
1 Ca 0.250 0.250 0.250
2 Zn 0.500 0.500 0.500
3 Ir 0.000 0.000 0.000

***

Record 2
An optimized crystal structure of Hg2PbCl2, computed with PBE-GGA.

## Properties
Its uncorrected formation energy is -0.489 eV/atom. The total magnetization comes out at 0.00 μB/cell.

Cell: 7.527 7.527 6.588 Å, 90.00 90.00 90.00°
Fractional positions:
1 Cl 0.168 0.332 0.000
2 Cl 0.832 0.668 0.000
3 Cl 0.332 0.832 0.000
4 Cl 0.668 0.168 0.000
5 Hg 0.847 0.347 0.500
6 Hg 0.347 0.153 0.500
7 Hg 0.153 0.653 0.500
8 Hg 0.653 0.847 0.500
9 Pb 0.500 0.500 0.000
10 Pb 0.000 0.000 0.000

***

Record 3
An optimized crystal structure of Pr8CS6, computed with PBE-GGA.

## Properties
Its uncorrected formation energy is -1.174 eV/atom. The total magnetization comes out at 0.00 μB/cell.

Cell: 4.205 10.205 10.205 Å, 120.00 90.00 90.00°
Fractional positions:
1 S 0.754 0.648 0.128
2 S 0.246 0.521 0.648
3 S 0.754 0.872 0.521
4 S 0.754 0.479 0.352
5 S 0.246 0.352 0.872
6 S 0.246 0.128 0.479
7 Pr 0.738 0.304 0.029
8 Pr 0.253 0.667 0.333
9 Pr 0.262 0.274 0.304
10 Pr 0.262 0.029 0.726
11 Pr 0.262 0.696 0.971
12 Pr 0.738 0.971 0.274
13 Pr 0.738 0.726 0.696
14 Pr 0.747 0.333 0.667
15 C 0.500 0.000 0.000

***

Record 4
An optimized crystal structure of Pm3ZnPd2, computed with PBE-GGA.

## Properties
Its energy above the lowest structure with this stoichiometry is 0 meV per atom. The formation energy is -611 meV per atom. The total magnetization comes out at 0.00 μB/cell.

Cell: 3.652 3.652 10.653 Å, 90.00 90.00 90.00°
Fractional positions:
1 Pm 0.000 0.000 0.000
2 Pm 0.000 0.000 0.329
3 Pm 0.000 0.000 0.671
4 Pd 0.500 0.500 0.834
5 Pd 0.500 0.500 0.166
6 Zn 0.500 0.500 0.500

***

Record 5
An optimized crystal structure of NdZn2Ge, computed with PBE-GGA.

## Properties
Its energy above the lowest structure with this stoichiometry is 200 meV per atom. The formation energy is -269 meV per atom. The total magnetization comes out at 0.00 μB/cell.

Cell: 4.560 4.068 4.858 Å, 91.12 90.00 90.00°
Fractional positions:
1 Ge 0.500 0.000 0.500
2 Zn 0.000 0.055 0.247
3 Zn 0.000 0.945 0.753
4 Nd 0.500 0.500 0.000

***

Record 6
An optimized crystal structure of LiTiH2S, computed with PBE-GGA.

## Properties
The value obtained for the total energy is -4.064 eV/atom. The total magnetization comes out at 1.02 μB/cell.

Cell: 3.407 5.814 3.407 Å, 90.00 90.00 90.00°
Fractional positions:
1 S 0.500 0.500 0.500
2 Ti 0.000 0.500 0.000
3 Li 0.000 0.000 0.000
4 H 0.000 0.000 0.500
5 H 0.500 0.000 0.000

***

Repeat the fourth record exactly.
An optimized crystal structure of Pm3ZnPd2, computed with PBE-GGA.

## Properties
Its energy above the lowest structure with this stoichiometry is 0 meV per atom. The formation energy is -611 meV per atom. The total magnetization comes out at 0.00 μB/cell.

Cell: 3.652 3.652 10.653 Å, 90.00 90.00 90.00°
Fractional positions:
1 Pm 0.000 0.000 0.000
2 Pm 0.000 0.000 0.329
3 Pm 0.000 0.000 0.671
4 Pd 0.500 0.500 0.834
5 Pd 0.500 0.500 0.166
6 Zn 0.500 0.500 0.500

***

Q: What is the total magnetization in the first record?
A: 0.00 μB/cell

***

Q: What is the formula in the fifth record?
A: NdZn2Ge

***

Q: What is the total magnetization in the second record?
A: 0.00 μB/cell